Record 1
Sr2HfTaSi, relaxed, DFT PBEsol; symmetry = No. 123; crystal system = tetragonal
1.0
5.932 0.000 0.000
0.000 5.932 0.000
0.000 0.000 4.834
Sr Hf Ta Si
2 1 1 1
Cartesian
0.000 2.966 0.000
2.966 0.000 0.000
0.000 0.000 0.000
0.000 0.000 2.417
2.966 2.966 2.417



Record 2
Tb2Hf3Si4, relaxed, DFT PBEsol; symmetry = No. 92; crystal system = tetragonal
1.0
7.215 0.000 0.000
0.000 7.215 0.000
0.000 0.000 13.241
Tb Hf Si
8 12 16
Cartesian
0.035 2.479 0.464
1.129 3.642 3.774
2.479 0.035 12.777
3.573 6.086 2.846
3.642 1.129 9.467
4.737 7.181 6.157
6.086 3.573 10.394
7.181 4.737 7.084
0.024 1.069 8.260
1.069 0.024 4.981
1.261 5.954 9.930
2.346 2.346 6.620
2.539 3.632 11.570
3.584 4.676 8.291
3.632 2.539 1.670
4.676 3.584 4.950
4.869 4.869 0.000
5.954 1.261 3.310
6.146 7.191 11.601
7.191 6.146 1.640
0.352 5.079 12.386
1.003 1.474 10.812
1.474 1.003 2.428
1.471 3.256 9.076
2.133 4.610 0.882
2.137 6.863 7.475
2.605 5.082 5.738
3.256 1.471 4.165
3.960 5.744 10.785
4.610 2.133 12.359
5.079 0.352 0.855
5.082 2.605 7.502
5.744 3.960 2.455
5.741 6.212 9.049
6.212 5.741 4.192
6.863 2.137 5.765



Record 3
Hf2Si2Tc, relaxed, DFT PBEsol; symmetry = No. 127; crystal system = tetragonal
1.0
6.446 0.000 0.000
0.000 6.446 0.000
0.000 0.000 3.848
Hf Si Tc
4 4 2
Cartesian
1.111 2.112 0.000
2.112 5.335 0.000
4.334 1.111 0.000
5.335 4.334 0.000
0.847 4.070 1.924
2.376 0.847 1.924
4.070 5.599 1.924
5.599 2.376 1.924
0.000 0.000 1.924
3.223 3.223 1.924



Record 4
HfSiTe2, relaxed, DFT PBEsol; symmetry = No. 166; crystal system = trigonal
1.0
1.845 1.065 8.809
-1.845 1.065 8.809
0.000 -2.130 8.809
Hf Si Te
1 1 2
Cartesian
0.000 0.000 0.000
0.000 0.000 13.214
0.000 0.000 2.764
0.000 0.000 23.664



What did we get for magnetization? Answer: 0.0000, 0.0000, 0.0035, 0.0000 μB per atom, in the order shown.
What did we get for formation energy (no corrections)? Answer: 1.516, -0.895, -0.858, 0.323 eV/atom, in the order shown.